First-principles (PBE) data for a relaxed structure of ZnSi2Au, as listed in Alexandria.

Lattice parameters (Å, degrees): 5.0302 5.0302 4.8171 102.42 102.42 32.98
Sites, in units of the cell vectors:
Zn 0.0000 0.0000 0.0000
Si 0.2428 0.2428 0.7657
Si 0.7572 0.7572 0.2343
Au 0.5000 0.5000 0.5000

- ΔE_f (raw) (eV/atom) = 0.26
- symmetry = C2/m
- ρ (Mg/m³) = 8.2
- N(E_F) (states/eV per cell) = 0.75
- volume (Å³/atom) = 16.17
- E (eV/atom) = -3.5935